Entry 1:
# TbSm2Ga3Pt4 (PBE, relaxed)
data_TbSm2Ga3Pt4
_chemical_formula_sum 'Tb1 Sm2 Ga3 Pt4'
_space_group_name_H-M_alt 'P 1'
_space_group_IT_number 1
_space_group_name_Hall 'P 1'
_cell_length_a 4.228
_cell_length_b 4.228
_cell_length_c 11.495
_cell_angle_alpha 90.00
_cell_angle_beta 90.00
_cell_angle_gamma 90.00
loop_
_atom_site_label
_atom_site_type_symbol
_atom_site_fract_x
_atom_site_fract_y
_atom_site_fract_z
Ga1 Ga 0.000 0.500 0.125
Ga2 Ga 0.500 0.000 0.875
Sm1 Sm 0.000 0.500 0.774
Pt1 Pt 0.000 0.000 0.000
Ga3 Ga 0.000 0.000 0.500
Pt2 Pt 0.500 0.000 0.659
Pt3 Pt 0.000 0.500 0.341
Tb1 Tb 0.500 0.500 0.500
Pt4 Pt 0.500 0.500 0.000
Sm2 Sm 0.500 0.000 0.226
# **Electronic total energy**: -57.03 eV per cell
# **SG**: No. 115
# **N(E_F)**: 0.67 states/eV/atom
# **Calculated density**: 11.71 g/cm3
# **Total magnetic moment**: 0.00 μB per cell


Entry 2:
# NaCuRh2 (PBE, relaxed)
data_NaCuRh2
_chemical_formula_sum 'Na2 Cu2 Rh4'
_space_group_name_H-M_alt 'P 1'
_space_group_IT_number 1
_space_group_name_Hall 'P 1'
_cell_length_a 3.736
_cell_length_b 3.736
_cell_length_c 9.800
_cell_angle_alpha 79.01
_cell_angle_beta 79.01
_cell_angle_gamma 90.00
loop_
_atom_site_label
_atom_site_type_symbol
_atom_site_fract_x
_atom_site_fract_y
_atom_site_fract_z
Cu1 Cu 0.750 0.250 0.500
Cu2 Cu 0.000 0.000 0.000
Na1 Na 0.250 0.750 0.500
Rh1 Rh 0.875 0.892 0.750
Na2 Na 0.500 0.500 0.000
Rh2 Rh 0.375 0.358 0.750
Rh3 Rh 0.108 0.625 0.250
Rh4 Rh 0.642 0.125 0.250
# **Electronic total energy**: -35.40 eV per cell
# **SG**: No. 122
# **N(E_F)**: 1.06 states/eV/atom
# **Calculated density**: 7.37 g/cm3
# **Total magnetic moment**: 2.67 μB per cell
# **Energy relative to the lowest polymorph listed for this composition**: 119 meV per atom


Entry 3:
# SrPSe2N (PBE, relaxed)
data_SrPSe2N
_chemical_formula_sum 'Sr1 P1 Se2 N1'
_space_group_name_H-M_alt 'P 1'
_space_group_IT_number 1
_space_group_name_Hall 'P 1'
_cell_length_a 5.155
_cell_length_b 3.768
_cell_length_c 5.155
_cell_angle_alpha 90.00
_cell_angle_beta 90.00
_cell_angle_gamma 90.00
loop_
_atom_site_label
_atom_site_type_symbol
_atom_site_fract_x
_atom_site_fract_y
_atom_site_fract_z
Se1 Se 0.000 0.000 0.500
N1 N 0.000 0.000 0.000
Sr1 Sr 0.500 0.500 0.500
P1 P 0.000 0.500 0.000
Se2 Se 0.500 0.000 0.000
# **Formation energy (no corrections)**: 0.071 eV per atom
# **Electronic total energy**: -22.03 eV per cell
# **SG**: No. 123
# **N(E_F)**: 0.44 states/eV/atom
# **Calculated density**: 4.82 g/cm3
# **Total magnetic moment**: 0.00 μB per cell
# **Energy relative to the lowest polymorph listed for this composition**: 317 meV per atom


Entry 4:
# YZrBe2 (PBE, relaxed)
data_YZrBe2
_chemical_formula_sum 'Y1 Zr1 Be2'
_space_group_name_H-M_alt 'P 1'
_space_group_IT_number 1
_space_group_name_Hall 'P 1'
_cell_length_a 4.689
_cell_length_b 4.689
_cell_length_c 4.689
_cell_angle_alpha 60.00
_cell_angle_beta 60.00
_cell_angle_gamma 60.00
loop_
_atom_site_label
_atom_site_type_symbol
_atom_site_fract_x
_atom_site_fract_y
_atom_site_fract_z
Zr1 Zr 0.750 0.750 0.750
Be1 Be 0.250 0.250 0.250
Y1 Y 0.500 0.500 0.500
Be2 Be 0.000 0.000 0.000
# **Electronic total energy**: -19.72 eV per cell
# **SG**: No. 216
# **N(E_F)**: 0.71 states/eV/atom
# **Calculated density**: 4.51 g/cm3
# **Total magnetic moment**: 2.29 μB per cell
# **Energy relative to the lowest polymorph listed for this composition**: 685 meV per atom


Entry 5:
# Li2TlHg2 (PBE, relaxed)
data_Li2TlHg2
_chemical_formula_sum 'Li4 Tl2 Hg4'
_space_group_name_H-M_alt 'P 1'
_space_group_IT_number 1
_space_group_name_Hall 'P 1'
_cell_length_a 7.887
_cell_length_b 7.887
_cell_length_c 3.404
_cell_angle_alpha 90.00
_cell_angle_beta 90.00
_cell_angle_gamma 90.00
loop_
_atom_site_label
_atom_site_type_symbol
_atom_site_fract_x
_atom_site_fract_y
_atom_site_fract_z
Li1 Li 0.856 0.644 0.000
Hg1 Hg 0.646 0.854 0.500
Tl1 Tl 0.500 0.500 0.000
Li2 Li 0.144 0.356 0.000
Tl2 Tl 0.000 0.000 0.000
Hg2 Hg 0.854 0.354 0.500
Li3 Li 0.356 0.856 0.000
Hg3 Hg 0.354 0.146 0.500
Hg4 Hg 0.146 0.646 0.500
Li4 Li 0.644 0.144 0.000
# **Electronic total energy**: -16.02 eV per cell
# **SG**: No. 127
# **N(E_F)**: 0.41 states/eV/atom
# **Calculated density**: 9.72 g/cm3
# **Total magnetic moment**: 0.00 μB per cell
# **Energy relative to the lowest polymorph listed for this composition**: 16 meV per atom


Entry 6:
# DyIn3Hg2 (PBE, relaxed)
data_DyIn3Hg2
_chemical_formula_sum 'Dy1 In3 Hg2'
_space_group_name_H-M_alt 'P 1'
_space_group_IT_number 1
_space_group_name_Hall 'P 1'
_cell_length_a 4.654
_cell_length_b 4.614
_cell_length_c 7.309
_cell_angle_alpha 108.40
_cell_angle_beta 90.00
_cell_angle_gamma 90.00
loop_
_atom_site_label
_atom_site_type_symbol
_atom_site_fract_x
_atom_site_fract_y
_atom_site_fract_z
In1 In 0.500 0.829 0.657
In2 In 0.500 0.171 0.343
Hg1 Hg 0.000 0.334 0.668
Dy1 Dy 0.000 0.000 0.000
Hg2 Hg 0.000 0.666 0.332
In3 In 0.500 0.500 0.000
# **Electronic total energy**: -14.76 eV per cell
# **SG**: No. 65
# **N(E_F)**: 0.39 states/eV/atom
# **Calculated density**: 10.12 g/cm3
# **Total magnetic moment**: 0.00 μB per cell


Entry 7:
# Mg12Tl3Hg5 (PBE, relaxed)
data_Mg12Tl3Hg5
_chemical_formula_sum 'Mg48 Tl12 Hg20'
_space_group_name_H-M_alt 'P 1'
_space_group_IT_number 1
_space_group_name_Hall 'P 1'
_cell_length_a 14.448
_cell_length_b 14.448
_cell_length_c 14.448
_cell_angle_alpha 109.47
_cell_angle_beta 109.47
_cell_angle_gamma 109.47
loop_
_atom_site_label
_atom_site_type_symbol
_atom_site_fract_x
_atom_site_fract_y
_atom_site_fract_z
Mg1 Mg 0.637 0.062 0.224
Hg1 Hg 0.750 0.125 0.875
Mg2 Mg 0.926 0.838 0.562
Mg3 Mg 0.724 0.137 0.062
Mg4 Mg 0.338 0.776 0.413
Mg5 Mg 0.913 0.838 0.776
Mg6 Mg 0.562 0.338 0.926
Mg7 Mg 0.587 0.863 0.426
Hg2 Hg 0.750 0.625 0.375
Mg8 Mg 0.438 0.776 0.863
Tl1 Tl 0.875 0.125 0.250
Mg9 Mg 0.562 0.224 0.137
Hg3 Hg 0.375 0.250 0.125
Mg10 Mg 0.574 0.938 0.662
Mg11 Mg 0.863 0.276 0.438
Mg12 Mg 0.587 0.724 0.662
Mg13 Mg 0.074 0.913 0.137
Tl2 Tl 0.625 0.375 0.750
Tl3 Tl 0.250 0.125 0.375
Mg14 Mg 0.426 0.363 0.587
Mg15 Mg 0.137 0.413 0.074
Mg16 Mg 0.087 0.926 0.363
Mg17 Mg 0.724 0.587 0.162
Mg18 Mg 0.838 0.926 0.062
Tl4 Tl 0.125 0.875 0.750
Mg19 Mg 0.776 0.438 0.363
Hg4 Hg 0.000 0.000 0.500
Hg5 Hg 0.500 0.000 0.000
Hg6 Hg 0.000 0.500 0.000
Mg20 Mg 0.276 0.863 0.938
Hg7 Hg 0.125 0.750 0.375
Tl5 Tl 0.750 0.875 0.625
Mg21 Mg 0.224 0.662 0.087
Mg22 Mg 0.363 0.938 0.776
Hg8 Hg 0.250 0.875 0.125
Mg23 Mg 0.162 0.087 0.724
Mg24 Mg 0.338 0.562 0.426
Hg9 Hg 0.375 0.125 0.750
Mg25 Mg 0.062 0.637 0.724
Mg26 Mg 0.913 0.074 0.637
Mg27 Mg 0.137 0.724 0.562
Mg28 Mg 0.413 0.137 0.574
Mg29 Mg 0.413 0.276 0.338
Tl6 Tl 0.375 0.625 0.250
Mg30 Mg 0.776 0.338 0.913
Mg31 Mg 0.074 0.162 0.438
Mg32 Mg 0.087 0.162 0.224
Tl7 Tl 0.625 0.250 0.375
Tl8 Tl 0.875 0.750 0.125
Hg10 Hg 0.000 0.500 0.500
Hg11 Hg 0.500 0.500 0.500
Hg12 Hg 0.250 0.375 0.625
Mg33 Mg 0.162 0.074 0.938
Mg34 Mg 0.363 0.426 0.087
Hg13 Hg 0.875 0.625 0.750
Tl9 Tl 0.250 0.625 0.875
Mg35 Mg 0.838 0.913 0.276
Hg14 Hg 0.500 0.500 0.000
Mg36 Mg 0.637 0.574 0.913
Mg37 Mg 0.938 0.574 0.162
Hg15 Hg 0.500 0.000 0.500
Mg38 Mg 0.863 0.587 0.926
Mg39 Mg 0.574 0.637 0.413
Hg16 Hg 0.625 0.875 0.250
Mg40 Mg 0.662 0.224 0.587
Mg41 Mg 0.438 0.662 0.074
Hg17 Hg 0.125 0.375 0.250
Hg18 Hg 0.875 0.250 0.625
Hg19 Hg 0.625 0.750 0.875
Mg42 Mg 0.926 0.087 0.863
Mg43 Mg 0.276 0.413 0.838
Mg44 Mg 0.426 0.062 0.338
Mg45 Mg 0.938 0.363 0.276
Tl10 Tl 0.125 0.250 0.875
Mg46 Mg 0.062 0.426 0.838
Mg47 Mg 0.224 0.562 0.637
Mg48 Mg 0.662 0.438 0.574
Tl11 Tl 0.375 0.750 0.625
Hg20 Hg 0.000 0.000 0.000
Tl12 Tl 0.750 0.375 0.125
# **Electronic total energy**: -102.40 eV per cell
# **SG**: No. 230
# **N(E_F)**: 0.54 states/eV/atom
# **Calculated density**: 5.46 g/cm3
# **Total magnetic moment**: 0.00 μB per cell


Entry 8:
# LiPbSe (PBE, relaxed)
data_LiPbSe
_chemical_formula_sum 'Li1 Pb1 Se1'
_space_group_name_H-M_alt 'P 1'
_space_group_IT_number 1
_space_group_name_Hall 'P 1'
_cell_length_a 6.425
_cell_length_b 6.425
_cell_length_c 6.425
_cell_angle_alpha 145.56
_cell_angle_beta 149.06
_cell_angle_gamma 46.96
loop_
_atom_site_label
_atom_site_type_symbol
_atom_site_fract_x
_atom_site_fract_y
_atom_site_fract_z
Se1 Se 0.586 0.586 0.000
Li1 Li 0.065 0.065 0.000
Pb1 Pb 0.350 0.350 0.000
# **Formation energy (no corrections)**: -0.500 eV per atom
# **Electronic total energy**: -10.61 eV per cell
# **SG**: No. 44
# **N(E_F)**: 0.39 states/eV/atom
# **Calculated density**: 6.33 g/cm3
# **Total magnetic moment**: 0.00 μB per cell
# **Energy relative to the lowest polymorph listed for this composition**: 87 meV per atom


Entry 9:
# La2Nd7Tm4 (PBE, relaxed)
data_La2Nd7Tm4
_chemical_formula_sum 'La2 Nd7 Tm4'
_space_group_name_H-M_alt 'P 1'
_space_group_IT_number 1
_space_group_name_Hall 'P 1'
_cell_length_a 6.238
_cell_length_b 6.238
_cell_length_c 13.193
_cell_angle_alpha 90.00
_cell_angle_beta 90.00
_cell_angle_gamma 120.00
loop_
_atom_site_label
_atom_site_type_symbol
_atom_site_fract_x
_atom_site_fract_y
_atom_site_fract_z
Nd1 Nd 0.627 0.000 0.773
Tm1 Tm 0.000 0.000 0.607
Nd2 Nd 0.000 0.373 0.227
La1 La 0.333 0.667 0.000
Nd3 Nd 0.373 0.373 0.773
Nd4 Nd 0.000 0.000 0.000
Tm2 Tm 0.667 0.333 0.500
Tm3 Tm 0.333 0.667 0.500
Nd5 Nd 0.627 0.627 0.227
Nd6 Nd 0.373 0.000 0.227
Tm4 Tm 0.000 0.000 0.393
Nd7 Nd 0.000 0.627 0.773
La2 La 0.667 0.333 0.000
# **Electronic total energy**: -58.67 eV per cell
# **SG**: No. 162
# **N(E_F)**: 1.35 states/eV/atom
# **Calculated density**: 7.33 g/cm3
# **Total magnetic moment**: 0.00 μB per cell


Entry 10:
# Cr2CdPt (PBE, relaxed)
data_Cr2CdPt
_chemical_formula_sum 'Cr2 Cd1 Pt1'
_space_group_name_H-M_alt 'P 1'
_space_group_IT_number 1
_space_group_name_Hall 'P 1'
_cell_length_a 4.884
_cell_length_b 4.884
_cell_length_c 4.008
_cell_angle_alpha 65.76
_cell_angle_beta 65.76
_cell_angle_gamma 48.75
loop_
_atom_site_label
_atom_site_type_symbol
_atom_site_fract_x
_atom_site_fract_y
_atom_site_fract_z
Cr1 Cr 0.999 0.999 0.001
Cr2 Cr 0.750 0.750 0.750
Cd1 Cd 0.250 0.250 0.250
Pt1 Pt 0.500 0.500 0.499
# **Electronic total energy**: -26.05 eV per cell
# **SG**: No. 44
# **N(E_F)**: 0.58 states/eV/atom
# **Calculated density**: 10.65 g/cm3
# **Total magnetic moment**: 0.02 μB per cell


> The highest total magnetic moment belongs to which entry?

NaCuRh2